# La2Ho2S7

Crystalline La2Ho2S7 at its relaxed geometry (PBE, Alexandria via LeMat-Bulk).

Calculated values
The value obtained for the density of states at the Fermi level is 5.9 states/eV per cell. The formation energy from raw total energies comes out at -1.801 eV/atom.

a = 4.012 Å, b = 8.598 Å, c = 8.598 Å
α = 61.32°, β = 76.51°, γ = 76.51°
Fractional coordinates of all 11 atoms:
Ho (0.500, 0.333, 0.667)
Ho (0.000, 0.780, 0.220)
La (0.743, 0.846, 0.667)
La (0.257, 0.333, 0.154)
S (0.176, 0.716, 0.932)
S (0.132, 0.149, 0.587)
S (0.868, 0.413, 0.851)
S (0.500, 0.002, 0.998)
S (0.605, 0.502, 0.288)
S (0.395, 0.712, 0.498)
S (0.824, 0.068, 0.284)

=====

# ScAl2Ru

Crystalline ScAl2Ru at its relaxed geometry (PBE, Alexandria via LeMat-Bulk).

Calculated values
The value obtained for the density of states at the Fermi level is 2.1 states/eV per cell. The formation energy from the elements comes out at -0.526 eV per atom.

a = 3.217 Å, b = 3.217 Å, c = 6.340 Å
α = 90.00°, β = 90.00°, γ = 90.00°
Fractional coordinates of all 4 atoms:
Ru (0.000, 0.000, 0.468)
Sc (0.500, 0.500, 0.728)
Al (0.500, 0.500, 0.274)
Al (0.000, 0.000, 0.030)

=====

# PrAg6Ge2

Crystalline PrAg6Ge2 at its relaxed geometry (PBE, Alexandria via LeMat-Bulk).

Calculated values
The value obtained for the density of states at the Fermi level is 4.4 states/eV per cell. The formation energy from the elements comes out at -0.192 eV per atom.

a = 4.337 Å, b = 4.337 Å, c = 9.412 Å
α = 90.00°, β = 90.00°, γ = 90.00°
Fractional coordinates of all 9 atoms:
Ag (0.500, 0.000, 0.292)
Ag (0.500, 0.000, 0.708)
Ag (0.000, 0.500, 0.708)
Ag (0.500, 0.500, 0.500)
Ag (0.000, 0.000, 0.500)
Ag (0.000, 0.500, 0.292)
Ge (0.500, 0.500, 0.870)
Ge (0.500, 0.500, 0.130)
Pr (0.000, 0.000, 0.000)

=====

# Sm3Dy2Sc

Crystalline Sm3Dy2Sc at its relaxed geometry (PBE, Alexandria via LeMat-Bulk).

Calculated values
The calculation puts the excess energy over the best structure of this formula in the dataset at 0.00 kcal/mol of atoms. The value obtained for the density of states at the Fermi level is 16.2 states/eV per cell. The formation energy from the elements comes out at 0.036 eV per atom.

a = 6.125 Å, b = 9.350 Å, c = 10.609 Å
α = 129.04°, β = 125.19°, γ = 77.46°
Fractional coordinates of all 12 atoms:
Sm (0.709, 0.374, 0.417)
Sm (0.961, 0.634, 0.921)
Sm (0.627, 0.627, 0.253)
Sm (0.291, 0.626, 0.583)
Sm (0.373, 0.373, 0.747)
Sm (0.039, 0.366, 0.079)
Dy (0.212, 0.878, 0.418)
Dy (0.539, 0.882, 0.086)
Dy (0.788, 0.122, 0.582)
Dy (0.461, 0.118, 0.914)
Sc (0.878, 0.878, 0.755)
Sc (0.122, 0.122, 0.245)

=====

# Nb2Ga3Cu

Crystalline Nb2Ga3Cu at its relaxed geometry (PBE, Alexandria via LeMat-Bulk).

Calculated values
The value obtained for the density of states at the Fermi level is 1.8 states/eV per cell. The formation energy from the elements comes out at 0.092 eV per atom.

a = 4.156 Å, b = 5.312 Å, c = 5.773 Å
α = 117.39°, β = 111.10°, γ = 90.00°
Fractional coordinates of all 6 atoms:
Nb (0.683, 0.183, 0.365)
Nb (0.317, 0.817, 0.635)
Ga (0.000, 0.000, 0.000)
Ga (0.355, 0.355, 0.710)
Ga (0.645, 0.645, 0.290)
Cu (0.000, 0.500, 0.000)

=====

# CsLa2ZrBi

Crystalline CsLa2ZrBi at its relaxed geometry (PBE, Alexandria via LeMat-Bulk).

Calculated values
The value obtained for the density of states at the Fermi level is 4.1 states/eV per cell. The formation energy from the elements comes out at 0.541 eV per atom.

a = 5.719 Å, b = 5.781 Å, c = 5.719 Å
α = 90.00°, β = 90.00°, γ = 90.00°
Fractional coordinates of all 5 atoms:
Cs (0.000, 0.500, 0.000)
La (0.000, 0.000, 0.500)
La (0.500, 0.000, 0.000)
Zr (0.000, 0.000, 0.000)
Bi (0.500, 0.500, 0.500)

=====

# FePRh2

Crystalline FePRh2 at its relaxed geometry (PBE, Alexandria via LeMat-Bulk).

Calculated values
The value obtained for the density of states at the Fermi level is 4.2 states/eV per cell. The formation energy from the elements comes out at -0.118 eV per atom.

a = 4.342 Å, b = 4.342 Å, c = 2.862 Å
α = 90.00°, β = 90.00°, γ = 100.05°
Each line ends with the local moment (μB).
Fractional coordinates of all 4 atoms:
Fe (0.500, 0.000, 0.500)  3.01
Rh (0.000, 0.000, 0.000)  0.41
Rh (0.500, 0.500, 0.000)  0.41
P (0.000, 0.500, 0.500)  0.01

=====

# Os2RhSe

Crystalline Os2RhSe at its relaxed geometry (PBE, Alexandria via LeMat-Bulk).

Calculated values
The value obtained for the density of states at the Fermi level is 7.9 states/eV per cell. The formation energy from raw total energies comes out at 1.097 eV/atom.

a = 5.490 Å, b = 5.490 Å, c = 6.810 Å
α = 66.23°, β = 66.23°, γ = 90.00°
Fractional coordinates of all 8 atoms:
Os (0.131, 0.625, 0.250)
Os (0.375, 0.381, 0.750)
Os (0.619, 0.125, 0.250)
Os (0.875, 0.869, 0.750)
Rh (0.750, 0.250, 0.500)
Rh (0.000, 0.000, 0.000)
Se (0.250, 0.750, 0.500)
Se (0.500, 0.500, 0.000)

=====

# PPt2Se

Crystalline PPt2Se at its relaxed geometry (PBE, Alexandria via LeMat-Bulk).

Calculated values
The calculation puts the excess energy over the best structure of this formula in the dataset at 1.95 kcal/mol of atoms. The value obtained for the density of states at the Fermi level is 5.3 states/eV per cell. The formation energy from raw total energies comes out at -0.197 eV/atom.

a = 5.437 Å, b = 5.437 Å, c = 6.885 Å
α = 66.74°, β = 66.74°, γ = 90.00°
Fractional coordinates of all 8 atoms:
Pt (0.587, 0.125, 0.250)
Pt (0.875, 0.837, 0.750)
Pt (0.375, 0.413, 0.750)
Pt (0.163, 0.625, 0.250)
Se (0.750, 0.250, 0.500)
Se (0.000, 0.000, 0.000)
P (0.500, 0.500, 0.000)
P (0.250, 0.750, 0.500)

=====

# Ta2ZnBr

Crystalline Ta2ZnBr at its relaxed geometry (PBE, Alexandria via LeMat-Bulk).

Calculated values
The calculation puts the excess energy over the best structure of this formula in the dataset at 8.41 kcal/mol of atoms. The value obtained for the density of states at the Fermi level is 3.5 states/eV per cell. The formation energy from raw total energies comes out at 0.530 eV/atom.

a = 5.589 Å, b = 5.589 Å, c = 5.589 Å
α = 148.80°, β = 124.09°, γ = 65.43°
Fractional coordinates of all 4 atoms:
Ta (0.005, 0.005, 0.000)
Ta (0.495, 0.495, 0.000)
Br (0.250, 0.750, 0.500)
Zn (0.750, 0.250, 0.500)

=====

# K4ErTe3O12

Crystalline K4ErTe3O12 at its relaxed geometry (PBE, Alexandria via LeMat-Bulk).

Calculated values
The value obtained for the density of states at the Fermi level is 3.4 states/eV per cell. The formation energy from raw total energies comes out at -1.570 eV/atom.

a = 7.128 Å, b = 7.128 Å, c = 7.128 Å
α = 109.47°, β = 109.47°, γ = 109.47°
Fractional coordinates of all 20 atoms:
K (0.000, 0.000, 0.500)
K (0.500, 0.000, 0.000)
K (0.500, 0.500, 0.500)
K (0.000, 0.500, 0.000)
O (0.250, 0.500, 0.750)
O (0.268, 0.000, 0.268)
O (0.000, 0.268, 0.268)
O (0.500, 0.250, 0.750)
O (0.732, 0.732, 0.000)
O (0.750, 0.250, 0.500)
O (0.250, 0.750, 0.500)
O (0.750, 0.500, 0.250)
O (0.500, 0.750, 0.250)
O (0.732, 0.000, 0.732)
O (0.268, 0.268, 0.000)
O (0.000, 0.732, 0.732)
Te (0.000, 0.500, 0.500)
Te (0.500, 0.000, 0.500)
Te (0.500, 0.500, 0.000)
Er (0.000, 0.000, 0.000)

=====

# Ta5H4

Crystalline Ta5H4 at its relaxed geometry (PBE, Alexandria via LeMat-Bulk).

Calculated values
The value obtained for the density of states at the Fermi level is 2.4 states/eV per cell. For the energy, the calculation gives -74.1 eV/f.u.

a = 3.444 Å, b = 5.682 Å, c = 5.682 Å
α = 84.73°, β = 72.36°, γ = 72.36°
Fractional coordinates of all 9 atoms:
H (0.999, 0.253, 0.750)
H (0.001, 0.747, 0.250)
H (0.748, 0.250, 0.253)
H (0.252, 0.750, 0.747)
Ta (0.799, 0.801, 0.602)
Ta (0.201, 0.199, 0.398)
Ta (0.600, 0.602, 0.199)
Ta (0.400, 0.398, 0.801)
Ta (0.000, 0.000, 0.000)